Entry from Alexandria: a relaxed structure of UFe2PbO6 (PBE with a Hubbard U).

a = 5.8638 Å, b = 5.7191 Å, c = 8.5371 Å
α = 90.00°, β = 92.45°, γ = 90.00°
Fractional coordinates of all 20 atoms:
O (0.5981, 0.3027, 0.6035)
O (0.4019, 0.6973, 0.3965)
O (0.1352, 0.3505, 0.7780)
O (0.0981, 0.1973, 0.1035)
O (0.8648, 0.6495, 0.2220)
O (0.9019, 0.8027, 0.8965)
O (0.1774, 0.1281, 0.4398)
O (0.6352, 0.1495, 0.2780)
O (0.3648, 0.8505, 0.7220)
O (0.3226, 0.6281, 0.0602)
O (0.6774, 0.3719, 0.9398)
O (0.8226, 0.8719, 0.5602)
Fe (0.4602, 0.5150, 0.7729)
Fe (0.0398, 0.0150, 0.7271)
Fe (0.5398, 0.4850, 0.2271)
Fe (0.9602, 0.9850, 0.2729)
U (0.5000, 0.0000, 0.5000)
U (0.0000, 0.5000, 0.0000)
Pb (0.5000, 0.0000, 0.0000)
Pb (0.0000, 0.5000, 0.5000)

## Properties
* VASP energy: -151.87 eV/cell